Entry 1:
La2MnHg after structural relaxation. Source: Alexandria via LeMat-Bulk, functional PBEsol.

Magnetization in μB/atom: 0.7343
Formation energy from the elements in kcal/mol of atoms: 0.68

a b c (Å): 5.0685 5.0685 5.0685
angles (deg): 60.00 60.00 60.00
Closest atoms and distances in Å follow each position.
Sites, in units of the cell vectors:
La1 0.0000 0.0000 0.0000  4 Mn 3.10, 4 La 3.10
La2 0.2500 0.2500 0.2500  4 Hg 3.10, 4 La 3.10
Mn1 0.7500 0.7500 0.7500  4 Hg 3.10, 4 La 3.10
Hg1 0.5000 0.5000 0.5000  4 Mn 3.10, 4 La 3.10


Entry 2:
MnOsPb2 after structural relaxation. Source: Alexandria via LeMat-Bulk, functional PBEsol.

Magnetization in μB/atom: 0.8857
E above lowest polymorph in eV/atom: 0.158
Formation energy from the elements in kcal/mol of atoms: 23.05

a b c (Å): 3.1482 3.1482 8.9629
angles (deg): 90.00 90.00 117.18
Closest atoms and distances in Å follow each position.
Sites, in units of the cell vectors:
Mn1 0.0000 0.0000 0.0000  4 Pb 2.81
Os1 0.0000 0.0000 0.5000  4 Pb 2.75
Pb1 0.5000 0.5000 0.2544  2 Os 2.75, 2 Mn 2.81
Pb2 0.5000 0.5000 0.7456  2 Os 2.75, 2 Mn 2.81


Entry 3:
Y2Si2Sn after structural relaxation. Source: Alexandria via LeMat-Bulk, functional PBEsol.

E_form (uncorrected) in eV/atom: -0.598
Magnetization in μB/atom: 0.0000

a b c (Å): 9.0421 9.0421 9.0421
angles (deg): 157.07 157.07 32.65
Closest atoms and distances in Å follow each position.
Sites, in units of the cell vectors:
Y1 0.1158 0.1158 0.0000  4 Si 2.94, 4 Sn 3.24
Y2 0.8842 0.8842 0.0000  4 Si 2.94, 4 Sn 3.24
Si1 0.2500 0.7500 0.5000  4 Si 2.54
Si2 0.7500 0.2500 0.5000  4 Si 2.54
Sn1 0.5000 0.5000 0.0000  8 Y 3.24, 4 Sn 3.59


Entry 4:
Sb2TeRu after structural relaxation. Source: Alexandria via LeMat-Bulk, functional PBEsol.

E_form (uncorrected) in eV/atom: -0.226
Magnetization in μB/atom: 0.0000

a b c (Å): 8.0284 8.0284 8.0284
angles (deg): 110.19 109.16 109.07
Closest atoms and distances in Å follow each position.
Sites, in units of the cell vectors:
Sb1 0.1587 0.0037 0.8450  2 Ru 2.63, 1 Sb 2.85
Sb2 0.1587 0.3137 0.1550  2 Ru 2.63, 1 Sb 2.85
Sb3 0.3455 0.1608 0.5063  2 Ru 2.62, 1 Sb 2.87
Sb4 0.3455 0.8392 0.1848  2 Ru 2.62, 1 Sb 2.87
Sb5 0.6545 0.1608 0.8152  2 Ru 2.62, 1 Sb 2.87
Sb6 0.6545 0.8392 0.4937  2 Ru 2.62, 1 Sb 2.87
Sb7 0.8413 0.6863 0.8450  2 Ru 2.63, 1 Sb 2.85
Sb8 0.8413 0.9963 0.1550  2 Ru 2.63, 1 Sb 2.85
Te1 0.0144 0.3410 0.6734  2 Ru 2.55
Te2 0.3324 0.6590 0.6734  2 Ru 2.55
Te3 0.6676 0.3410 0.3266  2 Ru 2.55
Te4 0.9856 0.6590 0.3266  2 Ru 2.55
Ru1 0.0000 0.0000 0.5000  2 Te 2.55, 4 Sb 2.62-2.63
Ru2 0.0000 0.5000 0.0000  2 Te 2.55, 4 Sb 2.62-2.63
Ru3 0.5000 0.0000 0.0000  2 Te 2.55, 4 Sb 2.62-2.63
Ru4 0.5000 0.5000 0.5000  2 Te 2.55, 4 Sb 2.62-2.63


Entry 5:
Bi2WBrO after structural relaxation. Source: Alexandria via LeMat-Bulk, functional PBEsol.

E_form (uncorrected) in eV/atom: 0.226
Magnetization in μB/atom: 0.1485

a b c (Å): 5.4805 5.4805 3.7754
angles (deg): 90.00 90.00 90.00
Closest atoms and distances in Å follow each position.
Sites, in units of the cell vectors:
Bi1 0.0000 0.5000 0.0000  2 O 2.74
Bi2 0.5000 0.0000 0.0000  2 O 2.74
W1 0.0000 0.0000 0.5000  2 O 1.89
Br1 0.5000 0.5000 0.5000  8 Bi 3.33
O1 0.0000 0.0000 0.0000  2 W 1.89


Entry 6:
SiRu2W after structural relaxation. Source: Alexandria via LeMat-Bulk, functional PBEsol.

E_form (uncorrected) in eV/atom: -0.127
Magnetization in μB/atom: 0.0001

a b c (Å): 4.0367 5.1405 5.1405
angles (deg): 31.00 90.00 90.00
Closest atoms and distances in Å follow each position.
Sites, in units of the cell vectors:
Si1 0.0000 0.0000 0.0000  3 Ru 2.35-2.47
Ru1 0.0000 0.2493 0.2493  1 Si 2.47, 6 Ru 2.75-2.76, 4 W 2.76
Ru2 0.5000 0.8786 0.8786  2 Si 2.35, 1 W 2.57
W1 0.5000 0.6187 0.6187  7 Ru 2.57-2.76, 4 Si 2.71, 2 W 2.75


Entry 7:
Ca2AsCl after structural relaxation. Source: Alexandria via LeMat-Bulk, functional PBEsol.

E_form (uncorrected) in eV/atom: -1.362
Magnetization in μB/atom: 0.0000

a b c (Å): 8.2189 8.2189 8.2189
angles (deg): 136.05 136.05 63.91
Closest atoms and distances in Å follow each position.
Sites, in units of the cell vectors:
Ca1 0.1160 0.6250 0.9910  2 As 2.76, 2 Cl 2.82
Ca2 0.3750 0.3660 0.4910  2 As 2.76, 2 Cl 2.82
Ca3 0.6340 0.1250 0.0090  2 As 2.76, 2 Cl 2.82
Ca4 0.8750 0.8840 0.5090  2 As 2.76, 2 Cl 2.82
As1 0.0000 0.0000 0.0000  4 Ca 2.76
As2 0.7500 0.2500 0.5000  4 Ca 2.76
Cl1 0.2500 0.7500 0.5000  4 Ca 2.82
Cl2 0.5000 0.5000 0.0000  4 Ca 2.82


Entry 8:
K2Au after structural relaxation. Source: Alexandria via LeMat-Bulk, functional PBEsol.

Magnetization in μB/atom: 0.0001
Formation energy from the elements in kcal/mol of atoms: -0.89

a b c (Å): 4.5423 4.5423 7.8610
angles (deg): 90.00 90.00 120.00
Closest atoms and distances in Å follow each position.
Sites, in units of the cell vectors:
K1 0.3333 0.6667 0.2417  3 Au 3.24
K2 0.6667 0.3333 0.7583  3 Au 3.24
Au1 0.0000 0.0000 0.0000  6 K 3.24


Entry 9:
RbHgP2N after structural relaxation. Source: Alexandria via LeMat-Bulk, functional PBEsol.

E_form (uncorrected) in eV/atom: 2.244
Magnetization in μB/atom: 1.6000

a b c (Å): 6.7286 6.7286 5.6534
angles (deg): 90.00 90.00 90.00
Closest atoms and distances in Å follow each position.
Sites, in units of the cell vectors:
Rb1 0.0000 0.0000 0.0000  2 N 2.83
Hg1 0.5000 0.5000 0.5000  8 P 4.39, 4 N 4.76
P1 0.0000 0.5000 0.0000  2 Rb 3.36
P2 0.5000 0.0000 0.0000  2 Rb 3.36
N1 0.0000 0.0000 0.5000  2 Rb 2.83


Entry 10:
LaCdSb2I after structural relaxation. Source: Alexandria via LeMat-Bulk, functional PBEsol.

E_form (uncorrected) in eV/atom: -0.048
Magnetization in μB/atom: 0.0000
E above lowest polymorph in eV/atom: 0.000

a b c (Å): 5.3442 5.3442 5.8312
angles (deg): 90.00 90.00 90.00
Closest atoms and distances in Å follow each position.
Sites, in units of the cell vectors:
La1 0.0000 0.0000 0.0000  4 I 3.78, 8 Sb 3.95
Cd1 0.5000 0.5000 0.5000  4 Sb 2.67, 2 I 2.92
Sb1 0.0000 0.5000 0.5000  2 Cd 2.67
Sb2 0.5000 0.0000 0.5000  2 Cd 2.67
I1 0.5000 0.5000 0.0000  2 Cd 2.92


Entry 11:
LiCo2Ag after structural relaxation. Source: Alexandria via LeMat-Bulk, functional PBEsol.

Magnetization in μB/atom: 0.8151
Formation energy from the elements in kcal/mol of atoms: 10.19

a b c (Å): 2.5186 2.5186 8.1563
angles (deg): 90.00 90.00 90.00
Closest atoms and distances in Å follow each position.
Sites, in units of the cell vectors:
Li1 0.0000 0.0000 0.0000  4 Li 2.52, 8 Co 2.68
Co1 0.5000 0.5000 0.2453  4 Co 2.52, 4 Li 2.68, 4 Ag 2.74
Co2 0.5000 0.5000 0.7547  4 Co 2.52, 4 Li 2.68, 4 Ag 2.74
Ag1 0.0000 0.0000 0.5000  4 Ag 2.52, 8 Co 2.74


Entry 12:
NiP3 after structural relaxation. Source: Alexandria via LeMat-Bulk, functional PBEsol.

Magnetization in μB/atom: 0.0000
E above lowest polymorph in eV/atom: 0.706
Formation energy from the elements in kcal/mol of atoms: 7.60

a b c (Å): 4.0961 4.0961 3.1663
angles (deg): 90.00 90.00 105.72
Closest atoms and distances in Å follow each position.
Sites, in units of the cell vectors:
Ni1 0.0000 0.0000 0.0000  10 P 2.47-2.59
P1 0.0000 0.5000 0.5000  6 P 2.47-2.59, 4 Ni 2.59
P2 0.5000 0.0000 0.5000  6 P 2.47-2.59, 4 Ni 2.59
P3 0.5000 0.5000 0.0000  2 Ni 2.47, 8 P 2.59